Record 1
DFT (PBE-GGA) results for a relaxed structure of AcTcO3.

Unit cell a=3.8146 b=3.8146 c=5.5410 alpha=90.00 beta=90.00 gamma=90.00
Space group P4mm (No. 99)
Asymmetric unit:
Ac: 0.0000 0.0000 0.0000 [1 per cell]
Tc: 0.5000 0.5000 0.4051 [1 per cell]
O: 0.0000 0.0000 0.6089 [1 per cell]
O: 0.0000 0.5000 0.2688 [2 per cell]

Record 2
DFT (PBE-GGA) results for a relaxed structure of AcTcO3.

Unit cell a=5.2260 b=8.6418 c=6.6207 alpha=90.00 beta=90.00 gamma=90.00
Space group Pnma (No. 62)
Asymmetric unit:
Ac: 0.0000 0.0000 0.0000 [4 per cell]
Tc: 0.0121 0.2500 0.4673 [4 per cell]
O: 0.0777 0.0898 0.6529 [8 per cell]
O: 0.1697 0.2500 0.1881 [4 per cell]

Record 3
DFT (PBE-GGA) results for a relaxed structure of AcTc2O4.

Unit cell a=9.2414 b=9.2414 c=9.2414 alpha=90.00 beta=90.00 gamma=90.00
Space group Fd-3m (No. 227, origin choice 2)
Asymmetric unit:
Ac: 0.1250 0.1250 0.1250 [8 per cell]
Tc: 0.0000 0.0000 0.5000 [16 per cell]
O: 0.0222 0.0222 0.7278 [32 per cell]

Record 4
DFT (PBE-GGA) results for a relaxed structure of AcTcO3.

Unit cell a=6.3680 b=6.3680 c=13.8752 alpha=90.00 beta=90.00 gamma=120.00
Space group R-3c (No. 167, hexagonal axes)
Asymmetric unit:
Ac: 0.0000 0.0000 0.0000 [6 per cell]
Tc: 0.0000 0.0000 0.2500 [6 per cell]
O: 0.0000 0.2914 0.2500 [18 per cell]

Record 5
DFT (PBE-GGA) results for a relaxed structure of Ac2TcO6.

Unit cell a=5.6145 b=6.5025 c=9.0526 alpha=90.00 beta=122.17 gamma=90.00
Space group P2_1/c (No. 14)
Asymmetric unit:
Ac: 0.2152 0.0921 0.2556 [4 per cell]
Tc: 0.5000 0.0000 0.0000 [2 per cell]
O: 0.1603 0.1460 0.9553 [4 per cell]
O: 0.3029 0.7367 0.9372 [4 per cell]
O: 0.3843 0.0449 0.7634 [4 per cell]

Record 6
DFT (PBE-GGA) results for a relaxed structure of AcZn2O4.

Unit cell a=9.1786 b=9.1786 c=9.1786 alpha=90.00 beta=90.00 gamma=90.00
Space group Fd-3m (No. 227, origin choice 2)
Asymmetric unit:
Ac: 0.1250 0.1250 0.1250 [8 per cell]
Zn: 0.0000 0.0000 0.5000 [16 per cell]
O: 0.0191 0.0191 0.7309 [32 per cell]

no.,total DFT energy (no corrections) (eV per atom)
1,-7.163
2,-7.774
3,-7.838
4,-7.842
5,-7.903
6,-5.489